# 1
Here is a PBEsol-optimized structure of BaLi2Pb2 from Alexandria via LeMat-Bulk. Energies are from SCAN.

abc: 8.8968 8.8968 3.2804
angles: 90.00 90.00 90.00
Fractional coordinates of all 10 atoms:
Ba  0.0000  0.0000  0.0000
Ba  0.5000  0.5000  0.0000
Li  0.1193  0.3807  0.0000
Li  0.3807  0.8807  0.0000
Li  0.6193  0.1193  0.0000
Li  0.8807  0.6193  0.0000
Pb  0.1690  0.6690  0.5000
Pb  0.3310  0.1690  0.5000
Pb  0.6690  0.8310  0.5000
Pb  0.8310  0.3310  0.5000

Properties
Total DFT energy (no corrections) in eV per atom: -39.682
N(E_F) in states/eV per atom: 0.387
Energy relative to the elements in meV/atom: -503

***

# 2
Here is a PBEsol-optimized structure of BaLi2Pb2 from Alexandria via LeMat-Bulk. Energies are from SCAN.

abc: 4.8656 4.8656 11.8001
angles: 90.00 90.00 90.00
Fractional coordinates of all 10 atoms:
Ba  0.0000  0.0000  0.0000
Ba  0.5000  0.5000  0.5000
Li  0.0000  0.5000  0.2500
Li  0.0000  0.5000  0.7500
Li  0.5000  0.0000  0.2500
Li  0.5000  0.0000  0.7500
Pb  0.0000  0.0000  0.3745
Pb  0.0000  0.0000  0.6255
Pb  0.5000  0.5000  0.1255
Pb  0.5000  0.5000  0.8745

Properties
Total DFT energy (no corrections) in eV per atom: -39.759
N(E_F) in states/eV per atom: 0.448
Energy relative to the elements in meV/atom: -580

***

# 3
Here is a PBEsol-optimized structure of Ba2LiPb from Alexandria via LeMat-Bulk. Energies are from SCAN.

abc: 13.3824 4.1303 5.7584
angles: 90.00 115.42 90.00
Fractional coordinates of all 8 atoms:
Ba  0.0000  0.0000  0.0000
Ba  0.1982  0.0000  0.6979
Ba  0.5000  0.5000  0.0000
Ba  0.6982  0.5000  0.6979
Li  0.2780  0.5000  0.2776
Li  0.7780  0.0000  0.2776
Pb  0.4372  0.0000  0.4373
Pb  0.9372  0.5000  0.4373

Properties
Total DFT energy (no corrections) in eV per atom: -39.739
N(E_F) in states/eV per atom: 0.577
Energy relative to the elements in meV/atom: -422

***

# 4
Here is a PBEsol-optimized structure of BaLiPb2 from Alexandria via LeMat-Bulk. Energies are from SCAN.

abc: 3.8367 3.8367 7.9221
angles: 90.00 90.00 90.00
Fractional coordinates of all 4 atoms:
Ba  0.0000  0.0000  0.0000
Li  0.0000  0.0000  0.5000
Pb  0.5000  0.5000  0.3050
Pb  0.5000  0.5000  0.6950

Properties
Total DFT energy (no corrections) in eV per atom: -48.909
N(E_F) in states/eV per atom: 0.519
Energy relative to the elements in meV/atom: -533

***

# 5
Here is a PBEsol-optimized structure of BaLi4Pb from Alexandria via LeMat-Bulk. Energies are from SCAN.

abc: 5.8588 5.8588 5.8588
angles: 60.00 60.00 60.00
Fractional coordinates of all 6 atoms:
Ba  0.0000  0.0000  0.0000
Li  0.3759  0.3759  0.3759
Li  0.3759  0.3759  0.8724
Li  0.3759  0.8724  0.3759
Li  0.8724  0.3759  0.3759
Pb  0.7500  0.7500  0.7500

Properties
Total DFT energy (no corrections) in eV per atom: -21.090
N(E_F) in states/eV per atom: 0.159
Energy relative to the elements in meV/atom: -275

***

# 6
Here is a PBEsol-optimized structure of BaLiPb2 from Alexandria via LeMat-Bulk. Energies are from SCAN.

abc: 3.5551 3.5551 32.1438
angles: 90.00 90.00 120.00
Fractional coordinates of all 12 atoms:
Ba  0.0000  0.0000  0.0000
Ba  0.3333  0.6667  0.6667
Ba  0.6667  0.3333  0.3333
Li  0.0000  0.0000  0.5000
Li  0.3333  0.6667  0.1667
Li  0.6667  0.3333  0.8333
Pb  0.0000  0.0000  0.2386
Pb  0.0000  0.0000  0.7614
Pb  0.3333  0.6667  0.4281
Pb  0.3333  0.6667  0.9052
Pb  0.6667  0.3333  0.0948
Pb  0.6667  0.3333  0.5719

Properties
Total DFT energy (no corrections) in eV per atom: -48.580
N(E_F) in states/eV per atom: 0.721
Energy relative to the elements in meV/atom: -204

***

# 7
Here is a PBEsol-optimized structure of Ba2LiPb from Alexandria via LeMat-Bulk. Energies are from SCAN.

abc: 4.1920 4.1920 8.9766
angles: 90.00 90.00 90.00
Fractional coordinates of all 4 atoms:
Ba  0.0000  0.0000  0.2328
Ba  0.0000  0.0000  0.7672
Li  0.5000  0.5000  0.5000
Pb  0.5000  0.5000  0.0000

Properties
Total DFT energy (no corrections) in eV per atom: -39.736
N(E_F) in states/eV per atom: 0.532
Energy relative to the elements in meV/atom: -418

***

# 8
Here is a PBEsol-optimized structure of BaLi2Pd2 from Alexandria via LeMat-Bulk. Energies are from SCAN.

abc: 4.3056 4.3056 11.2193
angles: 90.00 90.00 90.00
Fractional coordinates of all 10 atoms:
Ba  0.0000  0.0000  0.0000
Ba  0.5000  0.5000  0.5000
Li  0.0000  0.5000  0.2500
Li  0.0000  0.5000  0.7500
Li  0.5000  0.0000  0.2500
Li  0.5000  0.0000  0.7500
Pd  0.0000  0.0000  0.3826
Pd  0.0000  0.0000  0.6174
Pd  0.5000  0.5000  0.1174
Pd  0.5000  0.5000  0.8826

Properties
Total DFT energy (no corrections) in eV per atom: -22.412
N(E_F) in states/eV per atom: 0.152
Energy relative to the elements in meV/atom: -436

***

# 9
Here is a PBEsol-optimized structure of Ba3LiPd from Alexandria via LeMat-Bulk. Energies are from SCAN.

abc: 6.1756 6.1756 6.1756
angles: 90.00 90.00 90.00
Fractional coordinates of all 5 atoms:
Ba  0.0000  0.0000  0.5000
Ba  0.0000  0.5000  0.0000
Ba  0.5000  0.0000  0.0000
Li  0.5000  0.5000  0.5000
Pd  0.0000  0.0000  0.0000

Properties
Total DFT energy (no corrections) in eV per atom: -30.993
N(E_F) in states/eV per atom: 0.641
Energy relative to the elements in meV/atom: -230

***

# 10
Here is a PBEsol-optimized structure of Ba2Li2Pd from Alexandria via LeMat-Bulk. Energies are from SCAN.

abc: 3.9091 3.9091 20.2599
angles: 90.00 90.00 90.00
Fractional coordinates of all 10 atoms:
Ba  0.0000  0.0000  0.0899
Ba  0.0000  0.0000  0.9101
Ba  0.5000  0.5000  0.4101
Ba  0.5000  0.5000  0.5899
Li  0.0000  0.5000  0.2500
Li  0.0000  0.5000  0.7500
Li  0.5000  0.0000  0.2500
Li  0.5000  0.0000  0.7500
Pd  0.0000  0.0000  0.5000
Pd  0.5000  0.5000  0.0000

Properties
Total DFT energy (no corrections) in eV per atom: -23.506
N(E_F) in states/eV per atom: 0.515
Energy relative to the elements in meV/atom: -175

***

# 11
Here is a PBEsol-optimized structure of Ba2LiPd2 from Alexandria via LeMat-Bulk. Energies are from SCAN.

abc: 8.0108 8.0108 4.4211
angles: 90.00 90.00 90.00
Fractional coordinates of all 10 atoms:
Ba  0.1737  0.3263  0.0000
Ba  0.3263  0.8263  0.0000
Ba  0.6737  0.1737  0.0000
Ba  0.8263  0.6737  0.0000
Li  0.0000  0.0000  0.5000
Li  0.5000  0.5000  0.5000
Pd  0.1210  0.6210  0.5000
Pd  0.3790  0.1210  0.5000
Pd  0.6210  0.8790  0.5000
Pd  0.8790  0.3790  0.5000

Properties
Total DFT energy (no corrections) in eV per atom: -29.783
N(E_F) in states/eV per atom: 0.662
Energy relative to the elements in meV/atom: -376

***

# 12
Here is a PBEsol-optimized structure of BaLi3Pd from Alexandria via LeMat-Bulk. Energies are from SCAN.

abc: 4.9886 4.9886 4.9886
angles: 90.00 90.00 90.00
Fractional coordinates of all 5 atoms:
Ba  0.0000  0.0000  0.0000
Li  0.0000  0.5000  0.5000
Li  0.5000  0.0000  0.5000
Li  0.5000  0.5000  0.0000
Pd  0.5000  0.5000  0.5000

Properties
Total DFT energy (no corrections) in eV per atom: -16.060
N(E_F) in states/eV per atom: 0.665
Energy relative to the elements in meV/atom: -162

***

# 13
Here is a PBEsol-optimized structure of BaLiPt2 from Alexandria via LeMat-Bulk. Energies are from SCAN.

abc: 4.2881 4.2881 8.6822
angles: 90.00 90.00 90.00
Fractional coordinates of all 8 atoms:
Ba  0.0000  0.0000  0.0000
Ba  0.5000  0.5000  0.5000
Li  0.0000  0.0000  0.5000
Li  0.5000  0.5000  0.0000
Pt  0.0000  0.5000  0.2500
Pt  0.0000  0.5000  0.7500
Pt  0.5000  0.0000  0.2500
Pt  0.5000  0.0000  0.7500

Properties
Total DFT energy (no corrections) in eV per atom: -45.877
N(E_F) in states/eV per atom: 0.292
Energy relative to the elements in meV/atom: -295

***

# 14
Here is a PBEsol-optimized structure of BaLi2Pt2 from Alexandria via LeMat-Bulk. Energies are from SCAN.

abc: 4.2986 4.2986 10.9709
angles: 90.00 90.00 90.00
Fractional coordinates of all 10 atoms:
Ba  0.0000  0.0000  0.0000
Ba  0.5000  0.5000  0.5000
Li  0.0000  0.5000  0.2500
Li  0.0000  0.5000  0.7500
Li  0.5000  0.0000  0.2500
Li  0.5000  0.0000  0.7500
Pt  0.0000  0.0000  0.3817
Pt  0.0000  0.0000  0.6183
Pt  0.5000  0.5000  0.1183
Pt  0.5000  0.5000  0.8817

Properties
Total DFT energy (no corrections) in eV per atom: -37.599
N(E_F) in states/eV per atom: 0.129
Energy relative to the elements in meV/atom: -656